Computed, not measured: crystalline CeScGa4 at its relaxed geometry at the PBE level of DFT.

Cell lengths 4.1349, 4.1349, 7.8675 Å; angles 105.24, 105.24, 90.00 degrees
Last column: magnetic moment on the atom in μB.
Element x y z (fractional)
Ga 0.8311 0.3311 0.6621  -0.01
Ga 0.4155 0.4155 0.8310  0.00
Ga 0.5845 0.5845 0.1690  0.00
Ga 0.6689 0.1689 0.3379  -0.01
Ce 0.0000 0.0000 0.0000  0.49
Sc 0.2500 0.7500 0.5000  -0.03

## Properties
Symmetry: I-4m2
ΔE_f in eV per atom: -0.512
Total energy in eV per atom: -4.57